Entry from Alexandria via LeMat-Bulk: LiYIn2 after structural relaxation (GGA-PBE).

Cell: 4.5562 4.5562 10.8208 Å, 77.85 77.85 90.00°
Closest atoms and distances in Å follow each position.
Element x y z (fractional)
Y 0.0000 0.0000 0.0000  4 In 3.10, 4 Li 3.22
Y 0.7500 0.2500 0.5000  4 In 3.10, 4 Li 3.22
Li 0.5000 0.5000 0.0000  4 In 2.99, 4 Y 3.22
Li 0.2500 0.7500 0.5000  4 In 2.99, 4 Y 3.22
In 0.5931 0.1250 0.2500  2 Li 2.99, 2 In 3.02, 2 Y 3.10
In 0.1569 0.6250 0.2500  2 Li 2.99, 2 In 3.02, 2 Y 3.10
In 0.3750 0.4069 0.7500  2 Li 2.99, 2 In 3.02, 2 Y 3.10
In 0.8750 0.8431 0.7500  2 Li 2.99, 2 In 3.02, 2 Y 3.10

Properties
Its calculated formation energy is -15 meV/atom. The total energy is -27.8 eV for the cell shown. As for the space group: I-42d, No. 122.

---

Entry from Alexandria via LeMat-Bulk: Zr2PaN4 after structural relaxation (GGA-PBE).

Cell: 3.2479 10.6122 10.6965 Å, 90.00 90.00 90.00°
Closest atoms and distances in Å follow each position.
Element x y z (fractional)
Zr 0.2499 0.4342 0.6202  6 N 2.22-2.32
Zr 0.2499 0.9342 0.8798  6 N 2.22-2.32
Zr 0.7501 0.9342 0.3798  6 N 2.22-2.32
Zr 0.2499 0.5658 0.8798  6 N 2.22-2.32
Zr 0.7501 0.5658 0.3798  6 N 2.22-2.32
Zr 0.2499 0.0658 0.6202  6 N 2.22-2.32
Zr 0.7501 0.0658 0.1202  6 N 2.22-2.32
Zr 0.7501 0.4342 0.1202  6 N 2.22-2.32
Pa 0.7499 0.2500 0.8662  6 N 2.27-2.43
Pa 0.7499 0.7500 0.6338  6 N 2.27-2.43
Pa 0.2501 0.2500 0.3662  6 N 2.27-2.43
Pa 0.2501 0.7500 0.1338  6 N 2.27-2.43
N 0.7500 0.1204 0.4753  3 Zr 2.22-2.32, 2 Pa 2.43
N 0.2500 0.8796 0.5247  3 Zr 2.22-2.32, 2 Pa 2.43
N 0.7499 0.0000 0.7500  4 Zr 2.25
N 0.2500 0.1204 0.9753  3 Zr 2.22-2.32, 2 Pa 2.43
N 0.2500 0.3796 0.9753  3 Zr 2.22-2.32, 2 Pa 2.43
N 0.2501 0.7500 0.7820  2 Zr 2.22, 2 Pa 2.27
N 0.7500 0.8796 0.0247  3 Zr 2.22-2.32, 2 Pa 2.43
N 0.7499 0.7500 0.2820  2 Zr 2.22, 2 Pa 2.27
N 0.7499 0.5000 0.7500  4 Zr 2.25
N 0.2501 0.0000 0.2500  4 Zr 2.25
N 0.7500 0.3796 0.4753  3 Zr 2.22-2.32, 2 Pa 2.43
N 0.7499 0.2500 0.2180  2 Zr 2.22, 2 Pa 2.27
N 0.2501 0.2500 0.7180  2 Zr 2.22, 2 Pa 2.27
N 0.2501 0.5000 0.2500  4 Zr 2.25
N 0.7500 0.6204 0.0247  3 Zr 2.22-2.32, 2 Pa 2.43
N 0.2500 0.6204 0.5247  3 Zr 2.22-2.32, 2 Pa 2.43

Properties
For the energy above the most stable polymorph in this dataset, the calculation gives 0 meV/atom. The total energy is -284.8 eV for the cell shown. As for the space group: Cmcm, No. 63. The formation energy from raw total energies is -1.61 eV per atom.